Computed, not measured: a relaxed structure of BePPtS2 at the PBE level of DFT.

- offset from the most stable computed form (meV/atom) = 147
- uncorrected formation energy (eV/atom) = 0.810
- DOS at the Fermi energy (states/eV per atom) = 0.592
- uncorrected energy (eV per atom) = -3.876

Structure (POSCAR):
```
BePPtS2
1.0
4.770 0.000 0.000
0.000 4.770 0.000
0.000 0.000 4.145
Be P Pt S
1 1 1 2
Direct
0.000 0.000 0.000 Be
0.500 0.500 0.000 P
0.000 0.000 0.500 Pt
0.000 0.500 0.500 S
0.500 0.000 0.500 S
```